Record 1
Here is a relaxed B2PPtRhC crystal from Alexandria via LeMat-Bulk. Energies are from PBE-GGA.

Unit cell a=2.8242 b=4.0703 c=6.3945 alpha=104.79 beta=90.25 gamma=110.24
Last column: nearest neighbours and their distance in Å.
Space group P1 (No. 1)
Unique sites:
1 B 0.0000 0.0000 0.0000  2 C 1.58-1.59
2 B 0.3278 0.6511 0.2315  1 C 1.54
3 P 0.4206 0.8432 0.5690  1 B 2.08
4 Pt 0.1642 0.3342 0.7725  1 B 2.18, 1 C 2.31, 2 P 2.42-2.43
5 Rh 0.6742 0.3421 0.3593  2 B 2.14, 1 C 2.28
6 C 0.4309 0.8607 0.0563  3 B 1.54-1.59

Values from the calculation:
electronic total energy: -41.185 eV for the cell shown
calculated formation energy: 0.033 eV/atom
energy above the most stable polymorph in this dataset: 91.9 meV/atom

---

Record 2
Here is a relaxed B2PPtRhC crystal from Alexandria via LeMat-Bulk. Energies are from PBE-GGA.

Unit cell a=7.7589 b=2.8239 c=6.6534 alpha=90.00 beta=93.68 gamma=90.00
Last column: nearest neighbours and their distance in Å.
Space group Cm (No. 8)
Unique sites:
1 B 0.0000 0.0000 0.0000  2 C 1.60, 1 B 1.69
2 B 0.2143 0.0000 0.0655  1 C 1.53, 1 B 1.69
3 P 0.3851 0.5000 0.4446  2 Pt 2.31, 3 Rh 2.33-2.48
4 Pt 0.4875 0.0000 0.6997  1 C 2.27, 2 P 2.31, 2 B 2.44
5 Rh 0.1060 0.5000 0.2935  4 B 2.27-2.51, 1 C 2.32, 3 P 2.33-2.48
6 C 0.4049 0.0000 0.0209  3 B 1.53-1.60

Values from the calculation:
electronic total energy: -82.316 eV for the cell shown
calculated formation energy: 0.037 eV/atom
energy above the most stable polymorph in this dataset: 96.3 meV/atom

---

- What is the calculated formation energy in the first record?
  0.033 eV/atom